Below is a geometry-optimized MgV2HgO6 structure, with properties calculated at the GGA+U level.

abc: 5.954 8.321 8.321
angles: 99.58 77.13 77.13
Fractional positions:
1 O 0.019 0.593 0.270
2 O 0.702 0.010 0.309
3 O 0.202 0.309 0.010
4 O 0.798 0.691 0.990
5 O 0.298 0.990 0.691
6 O 0.616 0.682 0.702
7 O 0.981 0.407 0.730
8 O 0.519 0.270 0.593
9 O 0.384 0.318 0.298
10 O 0.884 0.298 0.318
11 O 0.481 0.730 0.407
12 O 0.116 0.702 0.682
13 Hg 0.750 0.095 0.905
14 Hg 0.250 0.905 0.095
15 Mg 0.250 0.237 0.763
16 Mg 0.750 0.763 0.237
17 V 0.123 0.381 0.222
18 V 0.877 0.619 0.778
19 V 0.377 0.778 0.619
20 V 0.623 0.222 0.381

Summary:
The calculation puts the magnetic moment at 0.00 μB/f.u. The value obtained for the total energy is -129.59 eV per cell. Its symmetry is C2/c (15).